Record 1
Entry from Alexandria via LeMat-Bulk: a relaxed structure of Ba2ZrRe (PBE).

Theoretical density = 8.26 g cm⁻³
Relative energy among the computed polymorphs = 649 meV per atom
E_tot = -20.4 eV/cell
Calculated formation energy = 4.4 eV/f.u.

Cell lengths 4.410, 4.410, 5.705 Å; angles 90.00, 90.00, 90.00 degrees
Space group P4/mmm (No. 123)
Inequivalent atoms, fractional coordinates:
Ba 0.000 0.500 0.000
Zr 0.000 0.000 0.500
Re 0.500 0.500 0.500

---

Record 2
Entry from Alexandria via LeMat-Bulk: a relaxed structure of K2LiRh2O6 (PBE).

Theoretical density = 4.20 g cm⁻³
Formation energy without anion corrections = -1.139 eV/atom
E_tot = -122.2 eV/cell

Cell lengths 5.322, 9.375, 6.341 Å; angles 90.00, 104.50, 90.00 degrees
Space group C2/m (No. 12)
Inequivalent atoms, fractional coordinates:
K 0.000 0.160 0.000
Li 0.000 0.000 0.500
Rh 0.000 0.335 0.500
O 0.191 0.500 0.672
O 0.230 0.181 0.671

---

Record 3
Entry from Alexandria via LeMat-Bulk: a relaxed structure of Mo2PRu (PBE).

Theoretical density = 9.44 g cm⁻³
E_tot = -74.0 eV/cell
Calculated formation energy = -0.6 eV/f.u.

Cell lengths 3.018, 4.364, 8.648 Å; angles 90.00, 90.00, 90.00 degrees
Space group Immm (No. 71)
Inequivalent atoms, fractional coordinates:
Mo 0.000 0.000 0.228
P 0.000 0.500 0.500
Ru 0.000 0.500 0.000

---

Record 4
Entry from Alexandria via LeMat-Bulk: a relaxed structure of AlAs2Pb (PBE).

Theoretical density = 7.24 g cm⁻³
Relative energy among the computed polymorphs = 460 meV per atom
E_tot = -61.5 eV/cell
Calculated formation energy = 1.4 eV/f.u.

Cell lengths 7.062, 7.062, 7.062 Å; angles 90.00, 90.00, 90.00 degrees
Space group F-43m (No. 216)
Inequivalent atoms, fractional coordinates:
Al 0.000 0.000 0.000
As 0.000 0.000 0.500
As 0.250 0.250 0.750
Pb 0.250 0.250 0.250

---

Record 5
Entry from Alexandria via LeMat-Bulk: a relaxed structure of La3SiAgSe7 (PBE).

Theoretical density = 5.82 g cm⁻³
Formation energy without anion corrections = -1.451 eV/atom
E_tot = -129.7 eV/cell

Cell lengths 10.9048, 10.9048, 6.1267 Å; angles 90.00, 90.00, 120.00 degrees
Space group P6_3 (No. 173)
Inequivalent atoms, fractional coordinates:
La 0.1246 0.3573 0.0000
Si 0.3333 0.6667 0.5895
Ag 0.0000 0.0000 0.4551
Se 0.0924 0.2679 0.4860
Se 0.1111 0.5882 0.7372
Se 0.3333 0.6667 0.2186

---

Record 6
Entry from Alexandria via LeMat-Bulk: a relaxed structure of Hg5N2F4 (PBE).

Theoretical density = 7.38 g cm⁻³
Formation energy without anion corrections = -0.746 eV/atom
E_tot = -33.9 eV/cell

Cell lengths 3.463, 8.400, 8.793 Å; angles 91.71, 100.94, 97.00 degrees
Space group P-1 (No. 2)
Inequivalent atoms, fractional coordinates:
Hg 0.000 0.000 0.000
Hg 0.102 0.685 0.108
Hg 0.147 0.439 0.307
N 0.036 0.011 0.564
F 0.312 0.642 0.531
F 0.454 0.696 0.863

---

Record 7
Entry from Alexandria via LeMat-Bulk: a relaxed structure of In2Hg5Pb12 (PBE).

Theoretical density = 10.51 g cm⁻³
Relative energy among the computed polymorphs = 20 meV per atom
E_tot = -100.3 eV/cell
Calculated formation energy = 1.3 eV/f.u.

Cell lengths 16.386, 9.033, 8.141 Å; angles 90.00, 102.68, 90.00 degrees
Space group C2/m (No. 12)
Inequivalent atoms, fractional coordinates:
In 0.000 0.194 0.000
Hg 0.000 0.500 0.500
Hg 0.169 0.000 0.123
Hg 0.246 0.000 0.745
Pb 0.043 0.000 0.695
Pb 0.067 0.500 0.185
Pb 0.148 0.207 0.433
Pb 0.163 0.309 0.858

---

Record 8
Entry from Alexandria via LeMat-Bulk: a relaxed structure of PbBr (PBE).

Theoretical density = 6.99 g cm⁻³
Formation energy without anion corrections = -0.325 eV/atom
E_tot = -12.1 eV/cell

Cell lengths 3.8831, 3.8831, 10.4442 Å; angles 90.00, 90.00, 120.00 degrees
Space group P-3m1 (No. 164)
Inequivalent atoms, fractional coordinates:
Pb 0.3333 0.6667 0.1402
Br 0.3333 0.6667 0.6633